Computed, not measured: an optimized crystal structure of PuBePt2 at the PBE-GGA level of DFT.

```
data_PuBePt2
_chemical_formula_sum 'Pu3 Be3 Pt6'
_cell_length_a 4.0445
_cell_length_b 4.0445
_cell_length_c 15.1965
_cell_angle_alpha 90.00
_cell_angle_beta 90.00
_cell_angle_gamma 120.00
_space_group_name_H-M_alt 'R -3 m'
_space_group_IT_number 166
_space_group_name_Hall '-R 3 2"'
loop_
_atom_site_label
_atom_site_fract_x
_atom_site_fract_y
_atom_site_fract_z
Pu1 0.0000 0.0000 0.0000
Be1 0.0000 0.0000 0.5000
Pt1 0.0000 0.0000 0.2149
```

Calculated total energy: -98.39 eV/cell


Computed, not measured: an optimized crystal structure of Pu3BePt2 at the PBE-GGA level of DFT.

```
data_Pu3BePt2
_chemical_formula_sum 'Pu12 Be4 Pt8'
_cell_length_a 11.511
_cell_length_b 4.050
_cell_length_c 11.209
_cell_angle_alpha 90.00
_cell_angle_beta 90.00
_cell_angle_gamma 90.00
_space_group_name_H-M_alt 'P n m a'
_space_group_IT_number 62
_space_group_name_Hall '-P 2ac 2n'
loop_
_atom_site_label
_atom_site_fract_x
_atom_site_fract_y
_atom_site_fract_z
Pu1 0.058 0.250 0.115
Pu2 0.125 0.750 0.565
Pu3 0.199 0.250 0.788
Be1 0.130 0.250 0.369
Pt1 0.043 0.750 0.317
Pt2 0.199 0.750 0.983
```

Calculated total energy: -247.78 eV/cell


Computed, not measured: an optimized crystal structure of PuBePt2 at the PBE-GGA level of DFT.

```
data_PuBePt2
_chemical_formula_sum 'Pu2 Be2 Pt4'
_cell_length_a 3.963
_cell_length_b 3.963
_cell_length_c 9.051
_cell_angle_alpha 90.00
_cell_angle_beta 90.00
_cell_angle_gamma 90.00
_space_group_name_H-M_alt 'P 4/n m m'
_space_group_IT_number 129
loop_
_space_group_symop_operation_xyz
'x,y,z'
'-x,-y,-z'
'-y+1/2,x,z'
'y+1/2,-x,-z'
'-x+1/2,-y+1/2,z'
'x+1/2,y+1/2,-z'
'y,-x+1/2,z'
'-y,x+1/2,-z'
'x+1/2,-y,-z'
'-x+1/2,y,z'
'-y,-x,-z'
'y,x,z'
'-x,y+1/2,-z'
'x,-y+1/2,z'
'y+1/2,x+1/2,-z'
'-y+1/2,-x+1/2,z'
loop_
_atom_site_label
_atom_site_fract_x
_atom_site_fract_y
_atom_site_fract_z
Pu1 0.250 0.250 0.212
Be1 0.250 0.250 0.631
Pt1 0.250 0.250 0.884
Pt2 0.250 0.750 0.500
```

Calculated total energy: -65.98 eV/cell


Computed, not measured: an optimized crystal structure of Pu2BePt3 at the PBE-GGA level of DFT.

```
data_Pu2BePt3
_chemical_formula_sum 'Pu6 Be3 Pt9'
_cell_length_a 5.5715
_cell_length_b 5.5715
_cell_length_c 11.9659
_cell_angle_alpha 90.00
_cell_angle_beta 90.00
_cell_angle_gamma 120.00
_space_group_name_H-M_alt 'R -3 m'
_space_group_IT_number 166
_space_group_name_Hall '-R 3 2"'
loop_
_atom_site_label
_atom_site_fract_x
_atom_site_fract_y
_atom_site_fract_z
Pu1 0.0000 0.0000 0.1219
Be1 0.0000 0.0000 0.5000
Pt1 0.0000 0.5000 0.0000
```

Calculated total energy: -165.27 eV/cell


no.,spin magnetization (Bohr magnetons per cell),formation energy (eV per atom)
1,15.506,-0.6646
2,70.418,-0.5237
3,10.357,-0.7131
4,33.406,-0.7632